A relaxed structure of Ba2CaAcTe4. Source: the Alexandria database, functional PBE-GGA.

a b c (Å): 8.292 4.798 8.401
angles (deg): 90.00 109.31 90.00
Atoms (fractional coordinates):
1 Ba 0.000 0.000 0.000
2 Ba 0.500 0.500 0.000
3 Ca 0.000 0.500 0.500
4 Ac 0.500 0.000 0.500
5 Te 0.236 0.000 0.727
6 Te 0.250 0.500 0.268
7 Te 0.750 0.500 0.732
8 Te 0.764 0.000 0.273

Calculated values
space group = P2/m (10)
N(E_F) = 2.78 states/eV/f.u.
VASP energy = -4.479 eV per atom


A relaxed structure of Be2BS. Source: the Alexandria database, functional PBE-GGA.

a b c (Å): 3.143 3.603 8.145
angles (deg): 79.21 89.88 89.85
Atoms (fractional coordinates):
1 Be 0.000 0.000 0.000
2 Be 0.000 0.114 0.498
3 Be 0.499 0.492 0.809
4 Be 0.502 0.705 0.182
5 B 0.498 0.281 0.048
6 B 0.997 0.485 0.012
7 S 0.001 0.673 0.359
8 S 0.499 0.047 0.668

Calculated values
space group = P1 (1)
N(E_F) = 0.45 states/eV/f.u.
offset from the most stable computed form = 59 meV per atom


A relaxed structure of TlCr3Pb. Source: the Alexandria database, functional PBE-GGA.

a b c (Å): 5.325 5.325 5.325
angles (deg): 90.00 90.00 90.00
Atoms (fractional coordinates):
1 Tl 0.000 0.000 0.000
2 Cr 0.000 0.500 0.500
3 Cr 0.500 0.000 0.500
4 Cr 0.500 0.500 0.000
5 Pb 0.500 0.500 0.500

Calculated values
energy of formation = 1.342 eV per atom
space group = Pm-3m (221)
N(E_F) = 5.02 states/eV/f.u.
offset from the most stable computed form = 0 meV per atom


A relaxed structure of K2Bi4Cl. Source: the Alexandria database, functional PBE-GGA.

a b c (Å): 10.205 10.205 10.205
angles (deg): 148.27 148.27 45.49
Atoms (fractional coordinates):
1 K 0.150 0.150 0.000
2 K 0.850 0.850 0.000
3 Bi 0.000 0.500 0.500
4 Bi 0.349 0.349 0.000
5 Bi 0.500 0.000 0.500
6 Bi 0.651 0.651 0.000
7 Cl 0.500 0.500 0.000

Calculated values
space group = I4/mmm (139)
N(E_F) = 4.57 states/eV/f.u.
VASP energy = -2.558 eV per atom